No. 1
{"formula": "ScTcIr", "functional": "PBE", "state": "optimized geometry", "e_above_lowest_polymorph_ev_per_fu": 1.059, "magmom_total_mub_per_fu": 0.000, "total_energy_ev_per_cell": -25.63, "cell": [[0.000, 3.058, 3.058], [3.058, 0.000, 3.058], [3.058, 3.058, 0.000]], "species": ["Sc", "Tc", "Ir"], "frac_coords": [[0.000, 0.000, 0.000], [0.500, 0.500, 0.500], [0.750, 0.750, 0.750]]}

***

No. 2
{"formula": "ScTcIr", "functional": "PBE", "state": "optimized geometry", "e_above_lowest_polymorph_ev_per_fu": 0.124, "magmom_total_mub_per_fu": 0.000, "total_energy_ev_per_cell": -53.13, "cell": [[5.033, 0.000, 0.000], [0.000, 2.180, 4.846], [0.000, -2.180, 4.846]], "species": ["Sc", "Sc", "Tc", "Tc", "Ir", "Ir"], "frac_coords": [[0.000, 0.000, 0.000], [0.500, 0.417, 0.417], [0.233, 0.701, 0.701], [0.767, 0.701, 0.701], [0.000, 0.303, 0.303], [0.500, 0.134, 0.134]]}

***

No. 3
{"formula": "ScTcIr", "functional": "PBE", "state": "optimized geometry", "e_above_lowest_polymorph_ev_per_fu": 0.042, "magmom_total_mub_per_fu": 0.000, "total_energy_ev_per_cell": -53.30, "cell": [[2.031, -6.019, 0.000], [2.031, 6.019, 0.000], [0.000, 0.000, 4.044]], "species": ["Sc", "Sc", "Tc", "Tc", "Ir", "Ir"], "frac_coords": [[0.248, 0.752, 0.750], [0.752, 0.248, 0.250], [0.063, 0.937, 0.250], [0.937, 0.063, 0.750], [0.424, 0.576, 0.250], [0.576, 0.424, 0.750]]}

***

No. 4
{"formula": "ScTcIr", "functional": "PBE", "state": "optimized geometry", "e_above_lowest_polymorph_ev_per_fu": 0.159, "magmom_total_mub_per_fu": 0.000, "total_energy_ev_per_cell": -53.06, "cell": [[4.369, -2.259, 0.000], [4.369, 2.259, 0.000], [-1.953, 0.000, 5.042]], "species": ["Sc", "Sc", "Tc", "Tc", "Ir", "Ir"], "frac_coords": [[0.000, 0.000, 0.000], [0.684, 0.684, 0.374], [0.324, 0.324, 0.126], [0.362, 0.362, 0.584], [0.041, 0.041, 0.532], [0.678, 0.678, 0.874]]}